This record from the Alexandria database describes a relaxed Ti2AgPb2 crystal. The functional is PBE-GGA.

Summary:
energy relative to the lowest polymorph listed for this composition: 0.0501 eV/atom
density of states at the Fermi level: 9.15 states/eV/cell
symmetry: P4/mbm, No. 127

Cell: 8.3002 8.3002 3.1944 Å, 90.00 90.00 90.00°
With the nearest neighbours (Å) after each atom.
Element x y z (fractional)
Ti: 0.1172 0.3828 0.0000  1 Ti 2.75, 6 Pb 2.88-2.97
Ti: 0.3828 0.8828 0.0000  1 Ti 2.75, 6 Pb 2.88-2.97
Ti: 0.6172 0.1172 0.0000  1 Ti 2.75, 6 Pb 2.88-2.97
Ti: 0.8828 0.6172 0.0000  1 Ti 2.75, 6 Pb 2.88-2.97
Ag: 0.0000 0.0000 0.5000  4 Pb 3.05, 2 Ag 3.19
Ag: 0.5000 0.5000 0.5000  4 Pb 3.05, 2 Ag 3.19
Pb: 0.1784 0.6784 0.5000  6 Ti 2.88-2.97, 2 Ag 3.05, 2 Pb 3.19
Pb: 0.3216 0.1784 0.5000  6 Ti 2.88-2.97, 2 Ag 3.05, 2 Pb 3.19
Pb: 0.6784 0.8216 0.5000  6 Ti 2.88-2.97, 2 Ag 3.05, 2 Pb 3.19
Pb: 0.8216 0.3216 0.5000  6 Ti 2.88-2.97, 2 Ag 3.05, 2 Pb 3.19